Crystalline MgSi3Ni at its relaxed geometry. Source: Alexandria, functional PBE.

Cell: 4.477 4.477 4.477 Å, 90.00 90.00 90.00°
Positions (direct):
Mg1 0.000 0.000 0.000
Si1 0.000 0.500 0.500
Si2 0.500 0.000 0.500
Si3 0.500 0.500 0.000
Ni1 0.500 0.500 0.500

Computed properties:
DOS at the Fermi energy   1.28 states/eV per cell
Spin magnetization   0.00 μB per cell
ΔE_f (raw)   1.695 eV/f.u.
Final energy   -21.950 eV for the cell shown